The following is a DFT calculation (PBE-GGA) of a relaxed Pm3InIr crystal.

Output
**Energy of formation from the pure elements**: -314 meV/atom
**Energy**: -0.20153 Ha/atom
**Excess energy over the best structure of this formula in the dataset**: 221 meV/atom

Cell: 5.4949 5.4949 5.4949 Å, 90.00 90.00 90.00°
Closest atoms and distances in Å follow each position.
Space group Pm-3m (No. 221)
Asymmetric unit:
Pm 0.0000 0.0000 0.5000 x3  2 Ir 2.75
In 0.5000 0.5000 0.5000 x1  12 Pm 3.89
Ir 0.0000 0.0000 0.0000 x1  6 Pm 2.75

=====

The following is a DFT calculation (PBE-GGA) of a relaxed InCo2Rh crystal.

Output
**Energy of formation from the pure elements**: 423 meV/atom
**Energy**: -0.20772 Ha/atom

Cell: 3.7237 3.7237 18.4143 Å, 90.00 90.00 90.00°
Closest atoms and distances in Å follow each position.
Space group I-42d (No. 122)
Asymmetric unit:
In 0.0000 0.0000 0.0000 x4  4 Rh 2.63, 4 Co 2.74
Co 0.1915 0.2500 0.6250 x8  2 Co 2.35, 2 Rh 2.58
Rh 0.0000 0.0000 0.5000 x4  4 Co 2.58, 4 In 2.63

=====

The following is a DFT calculation (PBE-GGA) of a relaxed TmPuAuO6 crystal.

Output
**Energy**: -0.28363 Ha/atom
**ΔE_f (raw)**: -1959 meV per atom

Cell: 5.7027 5.7027 9.0781 Å, 90.00 90.00 120.00°
Closest atoms and distances in Å follow each position.
Space group P-31c (No. 163)
Asymmetric unit:
Tm 0.3333 0.6667 0.2500 x2  6 O 2.24
Pu 0.3333 0.6667 0.7500 x2  6 O 2.02
Au 0.0000 0.0000 0.0000 x2  6 O 2.36
O 0.0281 0.3699 0.6321 x12  1 Pu 2.02, 1 Tm 2.24

=====

The following is a DFT calculation (PBE-GGA) of a relaxed CaInICl4 crystal.

Output
**Energy**: -0.12297 Ha/atom
**ΔE_f (raw)**: -1392 meV per atom

Cell: 12.4399 8.7460 9.9746 Å, 90.00 102.06 90.00°
Closest atoms and distances in Å follow each position.
Space group C2/m (No. 12)
Asymmetric unit:
Ca 0.1773 0.0000 0.0261 x4  5 Cl 2.93-3.14, 2 I 3.04-3.06
In 0.1214 0.5000 0.2553 x4  4 Cl 2.32-2.48
I 0.0156 0.0000 0.2187 x4  2 Ca 3.04-3.06
Cl 0.0697 0.5000 0.8450 x4  1 In 2.38
Cl 0.1706 0.5000 0.4925 x4  1 In 2.32
Cl 0.2229 0.3030 0.1520 x8  1 In 2.48

=====

The following is a DFT calculation (PBE-GGA) of a relaxed Li4Ga5Ir crystal.

Output
**Energy of formation from the pure elements**: -241 meV/atom
**Energy**: -0.12516 Ha/atom

Cell: 8.9991 8.9991 4.6887 Å, 90.00 90.00 90.00°
Closest atoms and distances in Å follow each position.
Space group I4mm (No. 107)
Asymmetric unit:
Li 0.0000 0.2855 0.0000 x8  5 Ga 2.73-2.83, 1 Ir 2.92
Ga 0.0000 0.0000 0.1989 x2  2 Ir 2.32-2.36
Ga 0.1918 0.1918 0.5560 x8  1 Ir 2.54, 2 Ga 2.77, 4 Li 2.79-2.83
Ir 0.0000 0.0000 0.7032 x2  6 Ga 2.32-2.54

=====

The following is a DFT calculation (PBE-GGA) of a relaxed Tb3NdSb3 crystal.

Output
**Energy**: -0.20038 Ha/atom
**ΔE_f (raw)**: -1020 meV per atom
**Excess energy over the best structure of this formula in the dataset**: 0 meV/atom

Cell: 9.3087 9.3087 9.3087 Å, 90.00 90.00 90.00°
Closest atoms and distances in Å follow each position.
Space group P2_13 (No. 198)
Asymmetric unit:
Tb 0.0748 0.4252 0.5748 x4  6 Sb 3.08-3.36
Tb 0.1789 0.1789 0.1789 x4  6 Sb 3.11-3.32
Tb 0.1802 0.8198 0.3198 x4  6 Sb 3.10-3.34
Nd 0.0699 0.5699 0.9301 x4  6 Sb 3.14-3.36
Sb 0.0013 0.7447 0.6219 x12  6 Tb 3.08-3.36, 2 Nd 3.14-3.36

=====

The following is a DFT calculation (PBE-GGA) of a relaxed Tb2LuCu crystal.

Output
**Energy of formation from the pure elements**: 266 meV/atom
**Energy**: -0.15448 Ha/atom
**Excess energy over the best structure of this formula in the dataset**: 347 meV/atom

Cell: 3.4656 3.4656 32.3658 Å, 90.00 90.00 120.00°
Closest atoms and distances in Å follow each position.
Space group R-3m (No. 166, hexagonal axes)
Asymmetric unit:
Tb 0.0000 0.0000 0.1034 x6  3 Cu 2.86
Lu 0.0000 0.0000 0.0000 x3  2 Tb 3.35, 6 Lu 3.47
Cu 0.0000 0.0000 0.5000 x3  6 Tb 2.86

=====

The following is a DFT calculation (PBE-GGA) of a relaxed TbSmFeCu crystal.

Output
**Energy of formation from the pure elements**: 31 meV/atom
**Energy**: -0.20013 Ha/atom

Cell: 6.9215 6.9215 6.9215 Å, 90.00 90.00 90.00°
Closest atoms and distances in Å follow each position.
Space group F-43m (No. 216)
Asymmetric unit:
Tb 0.0000 0.0000 0.0000 x4  4 Fe 3.00, 4 Cu 3.00
Sm 0.0000 0.0000 0.5000 x4  4 Fe 3.00, 4 Cu 3.00
Fe 0.2500 0.2500 0.2500 x4  4 Tb 3.00, 4 Sm 3.00
Cu 0.2500 0.2500 0.7500 x4  4 Tb 3.00, 4 Sm 3.00

=====

The following is a DFT calculation (PBE-GGA) of a relaxed K4Dy3SbO8 crystal.

Output
**Energy**: -0.23038 Ha/atom
**ΔE_f (raw)**: -2395 meV per atom

Cell: 6.9952 6.9952 18.7673 Å, 90.00 90.00 120.00°
Closest atoms and distances in Å follow each position.
Space group R-3m (No. 166, hexagonal axes)
Asymmetric unit:
K 0.0000 0.0000 0.0000 x3  6 O 2.78
K 0.0000 0.5000 0.0000 x9  6 O 2.82
Dy 0.0000 0.5000 0.5000 x9  6 O 2.32-2.33
Sb 0.0000 0.0000 0.5000 x3  6 O 2.37
O 0.0000 0.0000 0.2282 x6  3 Dy 2.33
O 0.0065 0.5032 0.7705 x18  2 Dy 2.32, 1 Sb 2.37

=====

The following is a DFT calculation (PBE-GGA) of a relaxed HfRhNF2 crystal.

Output
**Energy**: -0.26040 Ha/atom
**ΔE_f (raw)**: -1211 meV per atom
**Excess energy over the best structure of this formula in the dataset**: 0 meV/atom

Cell: 4.0926 4.0926 4.2550 Å, 90.00 90.00 90.00°
Closest atoms and distances in Å follow each position.
Space group P4/mmm (No. 123)
Asymmetric unit:
Hf 0.0000 0.0000 0.0000 x1  4 F 2.05, 2 N 2.13
Rh 0.5000 0.5000 0.5000 x1  4 N 2.89, 8 F 2.95
N 0.0000 0.0000 0.5000 x1  2 Hf 2.13
F 0.0000 0.5000 0.0000 x2  2 Hf 2.05

=====

The following is a DFT calculation (PBE-GGA) of a relaxed MnPt2Rh crystal.

Output
**Energy of formation from the pure elements**: -204 meV/atom
**Energy**: -0.27030 Ha/atom

Cell: 2.7924 3.8399 5.5361 Å, 90.00 90.00 90.00°
Closest atoms and distances in Å follow each position.
Space group Pmmm (No. 47)
Asymmetric unit:
Mn 0.0000 0.0000 0.0000 x1  8 Pt 2.74, 2 Rh 2.77, 2 Mn 2.79
Pt 0.5000 0.5000 0.2471 x2  4 Pt 2.74-2.80, 4 Mn 2.74, 4 Rh 2.76
Rh 0.0000 0.0000 0.5000 x1  8 Pt 2.76, 2 Mn 2.77, 2 Rh 2.79

=====

The following is a DFT calculation (PBE-GGA) of a relaxed Ba3PtO crystal.

Output
**Energy**: -0.16548 Ha/atom
**ΔE_f (raw)**: -1150 meV per atom
**Excess energy over the best structure of this formula in the dataset**: 63 meV/atom

Cell: 5.3680 5.3680 5.3680 Å, 90.00 90.00 90.00°
Closest atoms and distances in Å follow each position.
Space group Pm-3m (No. 221)
Asymmetric unit:
Ba 0.0000 0.0000 0.5000 x3  2 O 2.68
Pt 0.5000 0.5000 0.5000 x1  12 Ba 3.80
O 0.0000 0.0000 0.0000 x1  6 Ba 2.68